# 1
Density functional theory data (GGA-PBEsol) for a relaxed structure of Sr2YW.

Results
* excess energy over the best structure of this formula in the dataset: 22 kJ/mol of formula units

Cell: 3.170 5.282 6.658 Å, 90.00 90.00 90.00°
Atoms (fractional coordinates):
Sr1 0.000 0.000 0.228
Sr2 0.000 0.000 0.772
Y1 0.500 0.500 0.500
W1 0.500 0.500 0.000

=====

# 2
Density functional theory data (GGA-PBEsol) for a relaxed structure of SrYW.

Results
* excess energy over the best structure of this formula in the dataset: 0 kJ/mol of formula units

Cell: 3.130 3.130 8.306 Å, 100.86 100.86 90.00°
Atoms (fractional coordinates):
Y1 0.304 0.304 0.607
Sr1 0.022 0.022 0.044
W1 0.674 0.674 0.348

=====

# 3
Density functional theory data (GGA-PBEsol) for a relaxed structure of SrZnW2.

Results
* excess energy over the best structure of this formula in the dataset: 128 kJ/mol of formula units

Cell: 3.924 3.924 4.925 Å, 90.00 90.00 90.00°
Atoms (fractional coordinates):
Zn1 0.500 0.500 0.500
W1 0.000 0.500 0.000
W2 0.500 0.000 0.000
Sr1 0.000 0.000 0.500

=====

| no. | DFT formation energy (eV/atom) |
| --- | --- |
| 1 | 1.0765 |
| 2 | 0.8746 |
| 3 | 1.1484 |